(1)
First-principles (GGA-PBE) data for a geometry-optimized MgTi4Cu3O12 structure, as listed in Alexandria via LeMat-Bulk.

a = 10.572 Å, b = 7.521 Å, c = 7.597 Å
α = 90.00°, β = 133.72°, γ = 90.00°
Space group Cm (No. 8)
Inequivalent atoms, fractional coordinates:
Mg1 0.000 0.000 0.000 (multiplicity 2)
Ti1 0.236 0.245 0.380 (multiplicity 4)
Ti2 0.237 0.239 0.894 (multiplicity 4)
Cu1 0.000 0.000 0.374 (multiplicity 2)
Cu2 0.425 0.500 0.638 (multiplicity 2)
Cu3 0.498 0.000 0.880 (multiplicity 2)
O1 0.004 0.188 0.562 (multiplicity 4)
O2 0.178 0.500 0.247 (multiplicity 2)
O3 0.185 0.500 0.873 (multiplicity 2)
O4 0.189 0.182 0.074 (multiplicity 4)
O5 0.302 0.000 0.489 (multiplicity 2)
O6 0.316 0.000 0.890 (multiplicity 2)
O7 0.316 0.319 0.681 (multiplicity 4)
O8 0.493 0.315 0.183 (multiplicity 4)

Calculated values
**ρ**: 4.6 Mg/m³
**Crystal system**: monoclinic


(2)
First-principles (GGA-PBE) data for a geometry-optimized PrErCdGa structure, as listed in Alexandria via LeMat-Bulk.

a = 7.447 Å, b = 7.447 Å, c = 7.447 Å
α = 90.00°, β = 90.00°, γ = 90.00°
Space group F-43m (No. 216)
Inequivalent atoms, fractional coordinates:
Pr1 0.000 0.000 0.000 (multiplicity 4)
Er1 0.000 0.000 0.500 (multiplicity 4)
Cd1 0.250 0.250 0.250 (multiplicity 4)
Ga1 0.250 0.250 0.750 (multiplicity 4)

Calculated values
**ρ**: 7.9 Mg/m³
**Crystal system**: cubic
**Energy of formation from the pure elements**: -1.68 eV per formula unit


(3)
First-principles (GGA-PBE) data for a geometry-optimized YAlSeN2 structure, as listed in Alexandria via LeMat-Bulk.

a = 3.877 Å, b = 3.877 Å, c = 5.152 Å
α = 90.00°, β = 90.00°, γ = 90.00°
Space group P4/mmm (No. 123)
Inequivalent atoms, fractional coordinates:
Y1 0.000 0.000 0.000 (multiplicity 1)
Al1 0.500 0.500 0.500 (multiplicity 1)
Se1 0.500 0.500 0.000 (multiplicity 1)
N1 0.000 0.500 0.500 (multiplicity 2)

Calculated values
**ρ**: 4.8 Mg/m³
**Crystal system**: tetragonal


| no. | E above lowest polymorph (eV/atom) | D(E_F) (states/eV per cell) | M_tot (μB per formula unit) |
| --- | --- | --- | --- |
| 1 | 0.119 | 4.3 | 3.0 |
| 2 | 0.026 | 14.6 | 0.0 |
| 3 | 0.000 | 2.9 | 0.1 |